Record 1
Computed, not measured: a relaxed structure of Ba2Hg2RuO6 at the PBE level of DFT. Values from VASP.

space-group type = C2/m, No. 12
raw formation energy = -1332 meV per atom

Cell and atoms, written as Quantum ESPRESSO input:
```
&SYSTEM
  ibrav = 0, nat = 11, ntyp = 4
/
ATOMIC_SPECIES
Hg 200.59 Hg.upf
Ba 137.33 Ba.upf
O 16.00 O.upf
Ru 101.07 Ru.upf
ATOMIC_POSITIONS angstrom
Hg -2.091 4.849 0.497
Hg 5.249 0.579 0.497
Ba 2.800 1.171 3.456
O 1.891 3.250 4.797
O 1.207 -0.885 4.226
Ba -0.366 3.013 3.456
O -1.366 0.612 4.226
Ru -0.362 -0.622 2.959
O 0.543 0.933 2.115
O 1.226 5.068 2.685
O 3.800 3.571 2.685
CELL_PARAMETERS angstrom
6.546 -0.176 0.497
-3.388 5.604 0.497
-0.724 -1.244 5.918
```

Record 2
Computed, not measured: a relaxed structure of CuTe8Pd4 at the PBE level of DFT. Values from VASP.

space-group type = R-3m, No. 166
raw formation energy = -222 meV per atom

Cell and atoms, written as Quantum ESPRESSO input:
```
&SYSTEM
  ibrav = 0, nat = 13, ntyp = 3
/
ATOMIC_SPECIES
Te 127.60 Te.upf
Pd 106.42 Pd.upf
Cu 63.55 Cu.upf
ATOMIC_POSITIONS angstrom
Te 6.796 0.969 3.919
Pd 6.253 1.492 1.324
Pd 4.267 1.297 4.815
Te 10.769 5.478 6.430
Cu 7.245 3.685 4.326
Te 3.722 1.893 2.222
Te 6.509 4.159 1.684
Te 7.694 6.402 4.732
Te 7.982 3.212 6.968
Te 4.580 3.970 5.075
Pd 3.971 4.581 2.513
Pd 0.000 0.000 0.000
Te 9.911 3.401 3.577
CELL_PARAMETERS angstrom
1.985 4.387 6.005
6.549 -1.792 3.625
5.956 4.776 -0.978
```

Record 3
Computed, not measured: a relaxed structure of ReAsW2 at the PBE level of DFT. Values from VASP.

space-group type = Immm, No. 71
energy relative to the elements = 290.7 meV per atom

Cell and atoms, written as Quantum ESPRESSO input:
```
&SYSTEM
  ibrav = 0, nat = 4, ntyp = 3
/
ATOMIC_SPECIES
As 74.92 As.upf
W 183.84 W.upf
Re 186.21 Re.upf
ATOMIC_POSITIONS angstrom
As -1.067 -2.455 1.610
W -2.162 -4.990 3.200
Re -3.202 -7.365 4.831
W -3.483 -8.915 2.202
CELL_PARAMETERS angstrom
-3.226 -3.962 0.932
-0.284 -5.034 1.250
-0.759 -0.823 4.259
```

Record 4
Computed, not measured: a relaxed structure of NaLi4Mg8 at the PBE level of DFT. Values from VASP.

space-group type = I4/mmm, No. 139
energy relative to the elements = 9.1 meV per atom

Cell and atoms, written as Quantum ESPRESSO input:
```
&SYSTEM
  ibrav = 0, nat = 13, ntyp = 3
/
ATOMIC_SPECIES
Mg 24.30 Mg.upf
Li 6.94 Li.upf
Na 22.99 Na.upf
ATOMIC_POSITIONS angstrom
Mg 1.627 4.723 3.437
Mg 4.217 2.582 4.478
Mg 3.046 1.583 7.391
Li -0.067 0.000 3.909
Na 0.000 0.000 0.000
Li 3.885 3.652 1.562
Mg 2.000 1.583 2.510
Li 1.295 3.652 0.521
Li 2.523 0.000 4.951
Mg 5.636 5.722 8.432
Mg 3.419 4.723 6.464
Mg 0.829 2.582 5.423
Mg 4.590 5.722 3.551
CELL_PARAMETERS angstrom
5.180 0.000 2.082
2.590 7.305 1.041
-0.134 0.000 7.819
```

Number 1: total magnetic moment 0.18 μB per atom. Number 2: total magnetic moment 0.00 μB per atom. Number 3: total magnetic moment 0.00 μB per atom. Number 4: total magnetic moment 0.00 μB per atom.